DFT (PBE) results for crystalline Zr12Ag5Rh3 at its relaxed geometry.

Computed properties:
raw total energy = -1042.15 eV/cell
M_tot = 0.153 μB/atom
Fermi-level density of states = 1.25 states/eV/atom

Cell lengths 15.955, 15.955, 15.955 Å; angles 90.00, 90.00, 90.00 degrees
Space group Ia-3d (No. 230)
One atom of each set of equivalent atoms:
1 Zr 0.015 0.085 0.651 x96
2 Ag 0.000 0.000 0.000 x16
3 Ag 0.000 0.250 0.375 x24
4 Rh 0.000 0.250 0.125 x24


DFT (PBE) results for crystalline Zr2Ag2Rh at its relaxed geometry.

Computed properties:
raw total energy = -59.85 eV/cell
M_tot = 0.000 μB/atom
Fermi-level density of states = 0.76 states/eV/atom

Cell lengths 7.341, 7.341, 3.600 Å; angles 90.00, 90.00, 90.00 degrees
Space group P4/mbm (No. 127)
One atom of each set of equivalent atoms:
1 Zr 0.178 0.322 0.000 x4
2 Ag 0.128 0.628 0.500 x4
3 Rh 0.000 0.000 0.500 x2